# KPrVWO6

A relaxed KPrVWO6 crystal (GGA+U, the Alexandria database).

Summary:
Fermi-level density of states: 0.38 states/eV per cell
mass density: 6.54 g/cm³
total energy: -73.15 eV for the cell shown

abc: 5.681 5.681 5.681
angles: 60.00 60.00 60.00
Sites, in units of the cell vectors:
K1 0.000 0.000 0.000
Pr1 0.500 0.500 0.500
V1 0.750 0.750 0.750
W1 0.250 0.250 0.250
O1 0.007 0.007 0.493
O2 0.007 0.493 0.007
O3 0.007 0.493 0.493
O4 0.493 0.007 0.007
O5 0.493 0.007 0.493
O6 0.493 0.493 0.007